# 1
Below is crystalline Li2Hg13 at its relaxed geometry, with properties calculated at the PBE level.

## Properties
Space group: R-3m
E_tot: -0.043 Ry per atom
Energy above the most stable polymorph in this dataset: 0.000 eV per atom
ΔE_f: -6 kJ per mole of atoms
Crystal system: trigonal

a b c (Å): 8.3286 8.3286 8.2622
angles (deg): 59.73 59.73 60.00
Sites, in units of the cell vectors:
1 Li 0.6336 0.6336 0.0993
2 Li 0.3664 0.3664 0.9007
3 Hg 0.5000 0.5000 0.5000
4 Hg 0.9944 0.6119 0.7818
5 Hg 0.6119 0.6119 0.7818
6 Hg 0.6119 0.9944 0.7818
7 Hg 0.3881 0.0056 0.2182
8 Hg 0.0056 0.3881 0.2182
9 Hg 0.3881 0.3881 0.2182
10 Hg 0.1471 0.7788 0.2952
11 Hg 0.7788 0.7788 0.2952
12 Hg 0.7788 0.1471 0.2952
13 Hg 0.2212 0.8529 0.7048
14 Hg 0.8529 0.2212 0.7048
15 Hg 0.2212 0.2212 0.7048

=====

# 2
Below is crystalline TlSeS3 at its relaxed geometry, with properties calculated at the PBE level.

## Properties
Space group: Pm-3m
E_tot: -0.242 Ry per atom
Energy above the most stable polymorph in this dataset: 0.390 eV per atom
Crystal system: cubic

a b c (Å): 4.9063 4.9063 4.9063
angles (deg): 90.00 90.00 90.00
Sites, in units of the cell vectors:
1 Tl 0.5000 0.5000 0.5000
2 S 0.0000 0.5000 0.0000
3 S 0.0000 0.0000 0.5000
4 S 0.5000 0.0000 0.0000
5 Se 0.0000 0.0000 0.0000